No. 1
This record from the Alexandria database describes an optimized crystal structure of NaYO2F. The functional is PBE.

```
data_NaYO2F
_chemical_formula_sum 'Na1 Y1 O2 F1'
_symmetry_space_group_name_H-M 'P 4/m m m'
_symmetry_Int_Tables_number 123
_symmetry_space_group_name_Hall '-P 4 2'
_cell_length_a 4.4011
_cell_length_b 4.4011
_cell_length_c 4.4658
_cell_angle_alpha 90.00
_cell_angle_beta 90.00
_cell_angle_gamma 90.00
loop_
_atom_site_label
_atom_site_fract_x
_atom_site_fract_y
_atom_site_fract_z
Na1 0.0000 0.0000 0.0000
Y1 0.5000 0.5000 0.5000
O1 0.0000 0.5000 0.5000
F1 0.5000 0.5000 0.0000
```

Properties
The formation energy (no corrections) is -1184 kJ/mol of formula units. The total magnetization is 1.00 μB/cell.



No. 2
This record from the Alexandria database describes an optimized crystal structure of NaYO2F. The functional is PBE.

```
data_NaYO2F
_chemical_formula_sum 'Na1 Y1 O2 F1'
_symmetry_space_group_name_H-M 'P 4/m m m'
_symmetry_Int_Tables_number 123
_symmetry_space_group_name_Hall '-P 4 2'
_cell_length_a 4.0443
_cell_length_b 4.0443
_cell_length_c 3.8463
_cell_angle_alpha 90.00
_cell_angle_beta 90.00
_cell_angle_gamma 90.00
loop_
_atom_site_label
_atom_site_fract_x
_atom_site_fract_y
_atom_site_fract_z
Na1 0.0000 0.0000 0.0000
Y1 0.5000 0.5000 0.5000
O1 0.0000 0.5000 0.0000
F1 0.0000 0.0000 0.5000
```

Properties
The formation energy (no corrections) is -879 kJ/mol of formula units. The total magnetization is 1.00 μB/cell.



Question: formation energy (no corrections) of number 1 (NaYO2F)?
Answer: -1184 kJ/mol of formula units



Question: What is the formula in the first record?
Answer: NaYO2F



Question: Look up the formation energy (no corrections) of the first one.
Answer: -1184 kJ/mol of formula units



Question: Which value of formation energy (no corrections) does entry 1 give?
Answer: -1184 kJ/mol of formula units